This record from Alexandria describes Sc2PRh at its PBEsol-relaxed geometry. The functional is meta-GGA SCAN.

Values from the calculation:
Its total energy is -19.18 eV/atom. The calculation puts the total moment at 0.00 μB/atom. The value obtained for the density of states at the Fermi level is 1.49 states/eV per cell. The formation energy comes out at -1021 meV/atom.

Cell: 5.367 5.367 5.367 Å, 139.51 139.51 58.60°
Element x y z (fractional)
Sc (0.000, 0.000, 0.000)
Sc (0.750, 0.250, 0.500)
P (0.500, 0.500, 0.000)
Rh (0.250, 0.750, 0.500)